! PrNbPb2O6 | Alexandria via LeMat-Bulk | PBE | optimized geometry; values from VASP
&SYSTEM
  ibrav = 0, nat = 20, ntyp = 4
/
ATOMIC_SPECIES
Pr 140.91 Pr.upf
Nb 92.91 Nb.upf
Pb 207.20 Pb.upf
O 16.00 O.upf
CELL_PARAMETERS angstrom
5.9622 0.0000 0.0000
0.0000 6.1131 0.0000
-5.9304 0.0000 8.5427
ATOMIC_POSITIONS crystal
Pr 0.0000 0.0000 0.0000
Pr 0.0000 0.5000 0.5000
Nb 0.5000 0.0000 0.5000
Nb 0.5000 0.5000 0.0000
Pb 0.2425 0.0323 0.7493
Pb 0.2425 0.4677 0.2493
Pb 0.7575 0.5323 0.7507
Pb 0.7575 0.9677 0.2507
O 0.1727 0.1793 0.4521
O 0.1727 0.3207 0.9521
O 0.2777 0.7202 0.4499
O 0.2777 0.7798 0.9499
O 0.3697 0.0278 0.2717
O 0.3697 0.4722 0.7717
O 0.6303 0.5278 0.2283
O 0.6303 0.9722 0.7283
O 0.7223 0.2202 0.0501
O 0.7223 0.2798 0.5501
O 0.8273 0.6793 0.0479
O 0.8273 0.8207 0.5479
! Total magnetization: 0.00 μB/atom
! Fermi-level density of states: 0.00 states/eV/atom
! Uncorrected formation energy: -2.172 eV/atom
! Crystal system: monoclinic